Record 1
First-principles (PBE) data for Nd4SbPbO after structural relaxation, as listed in the Alexandria database.

a = 9.5320 Å, b = 9.5320 Å, c = 6.6592 Å
α = 90.00°, β = 90.00°, γ = 139.58°
Positions (direct):
1 Nd 0.0000 0.5000 0.0000
2 Nd 0.0000 0.5000 0.5000
3 Nd 0.0688 0.9312 0.7500
4 Nd 0.4221 0.5779 0.7500
5 Nd 0.5000 0.0000 0.0000
6 Nd 0.5000 0.0000 0.5000
7 Nd 0.5779 0.4221 0.2500
8 Nd 0.9312 0.0688 0.2500
9 Sb 0.1124 0.8876 0.2500
10 Sb 0.8876 0.1124 0.7500
11 Pb 0.3914 0.6086 0.2500
12 Pb 0.6086 0.3914 0.7500
13 O 0.2896 0.7104 0.7500
14 O 0.7104 0.2896 0.2500

Output
- Formation energy without anion corrections: -1.306 eV/atom



Record 2
First-principles (PBE) data for NdScPbO2 after structural relaxation, as listed in the Alexandria database.

a = 7.5712 Å, b = 7.5712 Å, c = 7.5712 Å
α = 150.90°, β = 150.90°, γ = 41.62°
Positions (direct):
1 Nd 0.0000 0.0000 0.0000
2 Sc 0.3446 0.3446 0.0000
3 Pb 0.6747 0.6747 0.0000
4 O 0.4061 0.9061 0.5000
5 O 0.9061 0.4061 0.5000

Output
- Formation energy without anion corrections: -2.395 eV/atom



Record 3
First-principles (PBE) data for Nd4Sm2Pb3O2 after structural relaxation, as listed in the Alexandria database.

a = 13.5032 Å, b = 13.5032 Å, c = 13.5032 Å
α = 159.35°, β = 159.35°, γ = 29.36°
Positions (direct):
1 Nd 0.0835 0.5835 0.5000
2 Nd 0.4165 0.9165 0.5000
3 Nd 0.5835 0.0835 0.5000
4 Nd 0.9165 0.4165 0.5000
5 Sm 0.1936 0.1936 0.0000
6 Sm 0.8064 0.8064 0.0000
7 Pb 0.3199 0.3199 0.0000
8 Pb 0.5000 0.5000 0.0000
9 Pb 0.6801 0.6801 0.0000
10 O 0.1032 0.1032 0.0000
11 O 0.8968 0.8968 0.0000

Output
- Formation energy without anion corrections: -1.359 eV/atom



Record 4
First-principles (PBE) data for Nd2Sm4Pb3O2 after structural relaxation, as listed in the Alexandria database.

a = 13.4980 Å, b = 13.4980 Å, c = 13.4980 Å
α = 159.56°, β = 159.56°, γ = 29.07°
Positions (direct):
1 Nd 0.1938 0.1938 0.0000
2 Nd 0.8062 0.8062 0.0000
3 Sm 0.0828 0.5828 0.5000
4 Sm 0.4172 0.9172 0.5000
5 Sm 0.5828 0.0828 0.5000
6 Sm 0.9172 0.4172 0.5000
7 Pb 0.3220 0.3220 0.0000
8 Pb 0.5000 0.5000 0.0000
9 Pb 0.6780 0.6780 0.0000
10 O 0.0987 0.0987 0.0000
11 O 0.9013 0.9013 0.0000

Output
- Formation energy without anion corrections: -1.384 eV/atom



Record 5
First-principles (PBE) data for SrNd2PbO6 after structural relaxation, as listed in the Alexandria database.

a = 6.3167 Å, b = 6.3167 Å, c = 6.3167 Å
α = 57.29°, β = 57.29°, γ = 57.29°
Positions (direct):
1 Sr 0.0000 0.0000 0.0000
2 Nd 0.2737 0.2737 0.2737
3 Nd 0.7765 0.7765 0.7765
4 Pb 0.4865 0.4865 0.4865
5 O 0.1051 0.6558 0.4042
6 O 0.2042 0.5849 0.8590
7 O 0.4042 0.1051 0.6558
8 O 0.5849 0.8590 0.2042
9 O 0.6558 0.4042 0.1051
10 O 0.8590 0.2042 0.5849

Output
- Formation energy without anion corrections: -2.494 eV/atom



Record 6
First-principles (PBE) data for Tb2Nd4Pb3O2 after structural relaxation, as listed in the Alexandria database.

a = 13.3753 Å, b = 13.3753 Å, c = 13.3753 Å
α = 159.19°, β = 159.19°, γ = 29.60°
Positions (direct):
1 Tb 0.1935 0.1935 0.0000
2 Tb 0.8065 0.8065 0.0000
3 Nd 0.0842 0.5842 0.5000
4 Nd 0.4158 0.9158 0.5000
5 Nd 0.5842 0.0842 0.5000
6 Nd 0.9158 0.4158 0.5000
7 Pb 0.3186 0.3186 0.0000
8 Pb 0.5000 0.5000 0.0000
9 Pb 0.6814 0.6814 0.0000
10 O 0.1059 0.1059 0.0000
11 O 0.8941 0.8941 0.0000

Output
- Formation energy without anion corrections: -1.350 eV/atom



Record 7
First-principles (PBE) data for Tb4Nd2Pb3O2 after structural relaxation, as listed in the Alexandria database.

a = 13.3694 Å, b = 13.3694 Å, c = 13.3694 Å
α = 159.70°, β = 159.70°, γ = 28.86°
Positions (direct):
1 Tb 0.0825 0.5825 0.5000
2 Tb 0.4175 0.9175 0.5000
3 Tb 0.5825 0.0825 0.5000
4 Tb 0.9175 0.4175 0.5000
5 Nd 0.1943 0.1943 0.0000
6 Nd 0.8057 0.8057 0.0000
7 Pb 0.3235 0.3235 0.0000
8 Pb 0.5000 0.5000 0.0000
9 Pb 0.6765 0.6765 0.0000
10 O 0.0949 0.0949 0.0000
11 O 0.9051 0.9051 0.0000

Output
- Formation energy without anion corrections: -1.408 eV/atom



Record 8
First-principles (PBE) data for Nd2TcPbO8 after structural relaxation, as listed in the Alexandria database.

a = 5.1390 Å, b = 5.1390 Å, c = 7.0482 Å
α = 90.02°, β = 90.02°, γ = 91.59°
Positions (direct):
1 Nd 0.0011 0.0011 0.2558
2 Nd 0.9989 0.9989 0.7442
3 Tc 0.5000 0.5000 0.5000
4 Pb 0.5000 0.5000 0.0000
5 O 0.1972 0.1972 0.9993
6 O 0.2356 0.2356 0.5010
7 O 0.3217 0.6766 0.2974
8 O 0.3234 0.6783 0.7026
9 O 0.6766 0.3217 0.2974
10 O 0.6783 0.3234 0.7026
11 O 0.7644 0.7644 0.4990
12 O 0.8028 0.8028 0.0007

Output
- Formation energy without anion corrections: -2.003 eV/atom